# SiHg2Rh

A relaxed structure of SiHg2Rh (PBE, Alexandria).

It has space group Cmmm (No. 65), with a = 3.159 Å, b = 5.069 Å, c = 9.509 Å, α = 90.00°, β = 90.00° and γ = 90.00°. Symmetry generates all atoms from Si at (0.000, 0.000, 0.000), Hg at (0.000, 0.500, 0.261) and Rh at (0.000, 0.000, 0.500).

As for the total energy: -2.87 eV/atom. For the formation energy without anion corrections, the calculation gives 0.47 eV/atom.


# CsTlInCl3

A relaxed structure of CsTlInCl3 (PBE, Alexandria).

It has space group C2/m (No. 12), with a = 19.784 Å, b = 4.754 Å, c = 10.176 Å, α = 90.00°, β = 110.09° and γ = 90.00°. Symmetry generates all atoms from Cs at (0.157, 0.000, 0.072), Tl at (0.157, 0.000, 0.537), In at (0.002, 0.500, 0.332), Cl at (0.009, 0.000, 0.185), Cl at (0.150, 0.500, 0.795) and Cl at (0.185, 0.500, 0.347).

As for the total energy: -3.16 eV/atom. For the formation energy without anion corrections, the calculation gives -1.24 eV/atom.


# Pm2CdGaPt6

A relaxed structure of Pm2CdGaPt6 (PBE, Alexandria).

It has space group R-3m (No. 166, hexagonal axes), with a = 5.6025 Å, b = 5.6025 Å, c = 24.4319 Å, α = 90.00°, β = 90.00° and γ = 120.00°. Symmetry generates all atoms from Pm at (0.0000, 0.0000, 0.2090), Cd at (0.0000, 0.0000, 0.5000), Ga at (0.0000, 0.0000, 0.0000) and Pt at (0.0023, 0.5012, 0.2549).

As for the total energy: -5.62 eV/atom. For the formation enthalpy at 0 K, the calculation gives -0.650 eV per atom.


# Ag2AuSe

A relaxed structure of Ag2AuSe (PBE, Alexandria).

It has space group P2_1/c (No. 14), with a = 6.695 Å, b = 4.728 Å, c = 12.833 Å, α = 90.00°, β = 121.42° and γ = 90.00°. Symmetry generates all atoms from Ag at (0.007, 0.248, 0.384), Ag at (0.260, 0.746, 0.884), Au at (0.244, 0.250, 0.250) and Se at (0.348, 0.002, 0.098).

As for the total energy: -3.03 eV/atom. For the formation energy without anion corrections, the calculation gives 0.08 eV/atom.


# BaBiPd

A relaxed structure of BaBiPd (PBE, Alexandria).

It has space group Cc (No. 9), with a = 10.156 Å, b = 11.810 Å, c = 6.387 Å, α = 90.00°, β = 90.81° and γ = 90.00°. Symmetry generates all atoms from Ba at (0.000, 0.121, 0.000), Ba at (0.414, 0.144, 0.003), Bi at (0.205, 0.153, 0.507), Bi at (0.223, 0.411, 0.852), Pd at (0.204, 0.354, 0.280) and Pd at (0.472, 0.118, 0.497).

As for the total energy: -4.33 eV/atom. For the formation enthalpy at 0 K, the calculation gives -0.667 eV per atom.


# Ba6ZnIn2

A relaxed structure of Ba6ZnIn2 (PBE, Alexandria).

It has space group P2_1/c (No. 14), with a = 5.998 Å, b = 11.499 Å, c = 12.977 Å, α = 90.00°, β = 117.46° and γ = 90.00°. Symmetry generates all atoms from Ba at (0.029, 0.203, 0.029), Ba at (0.296, 0.028, 0.797), Ba at (0.387, 0.115, 0.386), Zn at (0.000, 0.000, 0.500) and In at (0.297, 0.702, 0.797).

The energy above the most stable polymorph in this dataset is 0.0 meV/atom. As for the total energy: -2.27 eV/atom. For the formation enthalpy at 0 K, the calculation gives -0.236 eV per atom.


# NbVIrRu

A relaxed structure of NbVIrRu (PBE, Alexandria).

It has space group F-43m (No. 216), with a = 6.263 Å, b = 6.263 Å, c = 6.263 Å, α = 90.00°, β = 90.00° and γ = 90.00°. Symmetry generates all atoms from Nb at (0.000, 0.000, 0.000), V at (0.000, 0.000, 0.500), Ir at (0.250, 0.250, 0.750) and Ru at (0.250, 0.250, 0.250).

The energy above the most stable polymorph in this dataset is 0.0 meV/atom. As for the total energy: -9.51 eV/atom. For the formation enthalpy at 0 K, the calculation gives -0.182 eV per atom.


# Zr2W

A relaxed structure of Zr2W (PBE, Alexandria).

It has space group Pnma (No. 62), with a = 5.961 Å, b = 4.780 Å, c = 8.658 Å, α = 90.00°, β = 90.00° and γ = 90.00°. Symmetry generates all atoms from Zr at (0.047, 0.250, 0.218), Zr at (0.171, 0.250, 0.567) and W at (0.173, 0.250, 0.903).

The energy above the most stable polymorph in this dataset is 94.5 meV/atom. As for the total energy: -9.83 eV/atom. For the formation enthalpy at 0 K, the calculation gives 0.183 eV per atom.


# TlFe2Rh

A relaxed structure of TlFe2Rh (PBE, Alexandria).

It has space group P4/mmm (No. 123), with a = 2.908 Å, b = 2.908 Å, c = 7.529 Å, α = 90.00°, β = 90.00° and γ = 90.00°. Symmetry generates all atoms from Tl at (0.000, 0.000, 0.000), Fe at (0.500, 0.500, 0.287) and Rh at (0.000, 0.000, 0.500).

The energy above the most stable polymorph in this dataset is 122.2 meV/atom. As for the total energy: -6.31 eV/atom. For the formation enthalpy at 0 K, the calculation gives 0.351 eV per atom.


# ZnTeS2

A relaxed structure of ZnTeS2 (PBE, Alexandria).

It has space group I-42d (No. 122), with a = 6.682 Å, b = 6.682 Å, c = 8.118 Å, α = 90.00°, β = 90.00° and γ = 90.00°. Symmetry generates all atoms from Zn at (0.000, 0.000, 0.000), Te at (0.000, 0.000, 0.500) and S at (0.203, 0.750, 0.125).

The energy above the most stable polymorph in this dataset is 116.6 meV/atom. As for the total energy: -3.20 eV/atom. For the formation energy without anion corrections, the calculation gives -0.03 eV/atom.


# TlRu2O8

A relaxed structure of TlRu2O8 (PBE, Alexandria).

It has space group C2/m (No. 12), with a = 9.784 Å, b = 8.598 Å, c = 5.884 Å, α = 90.00°, β = 95.18° and γ = 90.00°. Symmetry generates all atoms from Tl at (0.000, 0.000, 0.000), Ru at (0.247, 0.500, 0.379), O at (0.076, 0.500, 0.284), O at (0.169, 0.157, 0.738) and O at (0.219, 0.000, 0.327).

The energy above the most stable polymorph in this dataset is 9.4 meV/atom. As for the total energy: -6.20 eV/atom. For the formation energy without anion corrections, the calculation gives -0.69 eV/atom.


# Mg2ZnW

A relaxed structure of Mg2ZnW (PBE, Alexandria).

It has space group Pm (No. 6), with a = 2.827 Å, b = 4.462 Å, c = 5.690 Å, α = 90.00°, β = 104.29° and γ = 90.00°. Symmetry generates all atoms from Mg at (0.000, 0.000, 0.000), Mg at (0.373, 0.500, 0.745), Zn at (0.227, 0.000, 0.460) and W at (0.635, 0.500, 0.272).

As for the total energy: -4.01 eV/atom. For the formation enthalpy at 0 K, the calculation gives 0.343 eV per atom.


Copy entry 12 word for word.
# Mg2ZnW

A relaxed structure of Mg2ZnW (PBE, Alexandria).

It has space group Pm (No. 6), with a = 2.827 Å, b = 4.462 Å, c = 5.690 Å, α = 90.00°, β = 104.29° and γ = 90.00°. Symmetry generates all atoms from Mg at (0.000, 0.000, 0.000), Mg at (0.373, 0.500, 0.745), Zn at (0.227, 0.000, 0.460) and W at (0.635, 0.500, 0.272).

As for the total energy: -4.01 eV/atom. For the formation enthalpy at 0 K, the calculation gives 0.343 eV per atom.